Entry 1:
Density functional theory data (PBE-GGA) for an optimized crystal structure of Mn2CoAs.

Properties
- DOS at the Fermi energy: 21.33 states/eV/cell
- Symmetry: I-42d (122)
- Formation energy from the elements: 0.52 eV per atom

Cell lengths 6.5288, 6.5288, 5.1869 Å; angles 51.00, 51.00, 90.00 degrees
With the nearest neighbours (Å) after each atom.
Sites, in units of the cell vectors:
Co 0.5000 0.5000 0.0000  4 Mn 2.34, 2 As 2.36
Mn 0.3750 0.3844 0.7500  2 Co 2.34, 2 Mn 2.37, 2 As 2.42
Mn 0.8750 0.8656 0.7500  2 Co 2.34, 2 Mn 2.37, 2 As 2.42
Mn 0.1344 0.6250 0.2500  2 Co 2.34, 2 Mn 2.37, 2 As 2.42
Co 0.2500 0.7500 0.5000  4 Mn 2.34, 2 As 2.36
As 0.0000 0.0000 0.0000  2 Co 2.36, 4 Mn 2.42
As 0.7500 0.2500 0.5000  2 Co 2.36, 4 Mn 2.42
Mn 0.6156 0.1250 0.2500  2 Co 2.34, 2 Mn 2.37, 2 As 2.42

***

Entry 2:
Density functional theory data (PBE-GGA) for an optimized crystal structure of K2Ca2US6.

Properties
- Symmetry: C2/m (12)
- E_form (uncorrected): -1707 kJ/mol of formula units

Cell lengths 6.9624, 6.9624, 7.8416 Å; angles 99.03, 99.03, 119.03 degrees
With the nearest neighbours (Å) after each atom.
Sites, in units of the cell vectors:
Ca 0.6654 0.3346 0.5000  6 S 2.83-2.87
S 0.9346 0.6282 0.3042  1 U 2.58, 2 Ca 2.83-2.87
S 0.6282 0.9346 0.3042  1 U 2.58, 2 Ca 2.83-2.87
Ca 0.3346 0.6654 0.5000  6 S 2.83-2.87
K 0.8270 0.1730 0.0000  6 S 3.21-3.33
S 0.2334 0.2334 0.3051  1 U 2.57, 2 Ca 2.84
S 0.7666 0.7666 0.6949  1 U 2.57, 2 Ca 2.84
K 0.1730 0.8270 0.0000  6 S 3.21-3.33
S 0.0654 0.3718 0.6958  1 U 2.58, 2 Ca 2.83-2.87
U 0.0000 0.0000 0.5000  6 S 2.57-2.58
S 0.3718 0.0654 0.6958  1 U 2.58, 2 Ca 2.83-2.87

***

Entry 3:
Density functional theory data (PBE-GGA) for an optimized crystal structure of BeCuAg2F6.

Properties
- Symmetry: P1 (1)
- E_form (uncorrected): -1710 kJ/mol of formula units

Cell lengths 5.5450, 5.9976, 6.3424 Å; angles 50.61, 63.99, 62.39 degrees
With the nearest neighbours (Å) after each atom.
Sites, in units of the cell vectors:
F 0.7966 0.9925 0.7320  1 Cu 1.88
Cu 0.7011 0.7159 0.7525  4 F 1.88-1.99
Ag 0.0332 0.9591 0.9982  4 F 2.30-2.55
Be 0.2979 0.2161 0.2515  4 F 1.55-1.62
F 0.0538 0.4395 0.7715  1 Cu 1.88
F 0.2822 0.9683 0.2475  1 Be 1.55
F 0.5245 0.3819 0.9804  1 Be 1.62
F 0.4197 0.0507 0.5217  1 Be 1.62
F 0.0299 0.4643 0.2557  1 Be 1.55
Ag 0.5226 0.4733 0.5043  4 F 2.30-2.55

***

Entry 4:
Density functional theory data (PBE-GGA) for an optimized crystal structure of Th3P2Rh9.

Properties
- DOS at the Fermi energy: 4.50 states/eV/cell
- Symmetry: P-3m1 (164)
- Formation energy from the elements: -0.94 eV per atom

Cell lengths 6.3215, 6.3215, 7.1154 Å; angles 90.00, 90.00, 120.00 degrees
With the nearest neighbours (Å) after each atom.
Sites, in units of the cell vectors:
Rh 0.5000 0.5000 0.0000  2 P 2.35
Rh 0.1483 0.2967 0.6623  1 P 2.22
Rh 0.7033 0.8517 0.6623  1 P 2.22
P 0.3333 0.6667 0.7912  6 Rh 2.22-2.35
Th 0.6667 0.3333 0.6573  12 Rh 3.05-3.17, 1 P 3.19
Th 0.3333 0.6667 0.3427  12 Rh 3.05-3.17, 1 P 3.19
Rh 0.0000 0.5000 0.0000  2 P 2.35
Rh 0.1483 0.8517 0.6623  1 P 2.22
Rh 0.2967 0.1483 0.3377  1 P 2.22
Rh 0.5000 0.0000 0.0000  2 P 2.35
Th 0.0000 0.0000 0.0000  12 Rh 2.90-3.16
P 0.6667 0.3333 0.2088  6 Rh 2.22-2.35
Rh 0.8517 0.1483 0.3377  1 P 2.22
Rh 0.8517 0.7033 0.3377  1 P 2.22

***

Table of density (g cm⁻³), in record order: 8.03; 3.09; 4.73; 11.36